Run 1
# La2BOs2, optimized geometry, DFT GGA-PBE
# Total magnetization   0.00 μB per formula unit
data_La2BOs2
_cell_length_a 3.5414
_cell_length_b 3.5414
_cell_length_c 17.3144
_cell_angle_alpha 90.00
_cell_angle_beta 90.00
_cell_angle_gamma 90.00
_space_group_name_H-M_alt 'I 4/m m m'
_space_group_IT_number 139
_space_group_name_Hall '-I 4 2'
loop_
_atom_site_label
_atom_site_type_symbol
_atom_site_fract_x
_atom_site_fract_y
_atom_site_fract_z
La1 La 0.0000 0.0000 0.0917
B1 B 0.0000 0.0000 0.5000
Os1 Os 0.0000 0.5000 0.2500


Run 2
# La2BOs2, optimized geometry, DFT GGA-PBE
# Total magnetization   1.82 μB per formula unit
data_La2BOs2
_cell_length_a 7.6935
_cell_length_b 7.6935
_cell_length_c 4.1539
_cell_angle_alpha 90.00
_cell_angle_beta 90.00
_cell_angle_gamma 90.00
_space_group_name_H-M_alt 'P 4/m b m'
_space_group_IT_number 127
_space_group_name_Hall '-P 4 2ab'
loop_
_atom_site_label
_atom_site_type_symbol
_atom_site_fract_x
_atom_site_fract_y
_atom_site_fract_z
La1 La 0.1844 0.3156 0.0000
B1 B 0.0000 0.0000 0.0000
Os1 Os 0.1070 0.6070 0.5000


Most stable of them? run 1.


Run 1
# La2TlBOs, optimized geometry, DFT GGA-PBE
# Total magnetization   0.00 μB per formula unit
data_La2TlBOs
_cell_length_a 5.4954
_cell_length_b 5.4954
_cell_length_c 4.0735
_cell_angle_alpha 90.00
_cell_angle_beta 90.00
_cell_angle_gamma 90.00
_space_group_name_H-M_alt 'P 4/m m m'
_space_group_IT_number 123
_space_group_name_Hall '-P 4 2'
loop_
_atom_site_label
_atom_site_type_symbol
_atom_site_fract_x
_atom_site_fract_y
_atom_site_fract_z
La1 La 0.0000 0.5000 0.0000
Tl1 Tl 0.0000 0.0000 0.5000
B1 B 0.5000 0.5000 0.0000
Os1 Os 0.5000 0.5000 0.5000


Run 2
# La2TlBOs, optimized geometry, DFT GGA-PBE
# Total magnetization   0.00 μB per formula unit
data_La2TlBOs
_cell_length_a 5.3129
_cell_length_b 5.3129
_cell_length_c 4.2878
_cell_angle_alpha 90.00
_cell_angle_beta 90.00
_cell_angle_gamma 90.00
_space_group_name_H-M_alt 'P 4/m m m'
_space_group_IT_number 123
_space_group_name_Hall '-P 4 2'
loop_
_atom_site_label
_atom_site_type_symbol
_atom_site_fract_x
_atom_site_fract_y
_atom_site_fract_z
La1 La 0.0000 0.5000 0.0000
Tl1 Tl 0.0000 0.0000 0.5000
B1 B 0.0000 0.0000 0.0000
Os1 Os 0.5000 0.5000 0.5000


Most stable of them? run 1.


Run 1
# LaBP3, optimized geometry, DFT GGA-PBE
# Total magnetization   0.00 μB per formula unit
data_LaBP3
_cell_length_a 4.3849
_cell_length_b 4.3849
_cell_length_c 4.3849
_cell_angle_alpha 90.00
_cell_angle_beta 90.00
_cell_angle_gamma 90.00
_space_group_name_H-M_alt 'P m -3 m'
_space_group_IT_number 221
_space_group_name_Hall '-P 4 2 3'
loop_
_atom_site_label
_atom_site_type_symbol
_atom_site_fract_x
_atom_site_fract_y
_atom_site_fract_z
La1 La 0.0000 0.0000 0.0000
B1 B 0.5000 0.5000 0.5000
P1 P 0.0000 0.5000 0.5000


Run 2
# LaBP3, optimized geometry, DFT GGA-PBE
# Total magnetization   0.00 μB per formula unit
data_LaBP3
_cell_length_a 5.4415
_cell_length_b 5.4415
_cell_length_c 5.4415
_cell_angle_alpha 90.00
_cell_angle_beta 90.00
_cell_angle_gamma 90.00
_space_group_name_H-M_alt 'P m -3 m'
_space_group_IT_number 221
_space_group_name_Hall '-P 4 2 3'
loop_
_atom_site_label
_atom_site_type_symbol
_atom_site_fract_x
_atom_site_fract_y
_atom_site_fract_z
La1 La 0.0000 0.0000 0.0000
B1 B 0.5000 0.5000 0.5000
P1 P 0.0000 0.0000 0.5000


Most stable of them? run 1.


Run 1
# La2B2P, optimized geometry, DFT GGA-PBE
# Total magnetization   1.44 μB per formula unit
data_La2B2P
_cell_length_a 3.6480
_cell_length_b 3.6480
_cell_length_c 15.1930
_cell_angle_alpha 90.00
_cell_angle_beta 90.00
_cell_angle_gamma 90.00
_space_group_name_H-M_alt 'I 4/m m m'
_space_group_IT_number 139
_space_group_name_Hall '-I 4 2'
loop_
_atom_site_label
_atom_site_type_symbol
_atom_site_fract_x
_atom_site_fract_y
_atom_site_fract_z
La1 La 0.0000 0.0000 0.1160
B1 B 0.0000 0.5000 0.2500
P1 P 0.0000 0.0000 0.5000


Run 2
# La2B2P, optimized geometry, DFT GGA-PBE
# Total magnetization   0.00 μB per formula unit
data_La2B2P
_cell_length_a 7.8622
_cell_length_b 7.8622
_cell_length_c 3.8255
_cell_angle_alpha 90.00
_cell_angle_beta 90.00
_cell_angle_gamma 90.00
_space_group_name_H-M_alt 'P 4/m b m'
_space_group_IT_number 127
_space_group_name_Hall '-P 4 2ab'
loop_
_atom_site_label
_atom_site_type_symbol
_atom_site_fract_x
_atom_site_fract_y
_atom_site_fract_z
La1 La 0.1873 0.3127 0.0000
B1 B 0.0695 0.5695 0.5000
P1 P 0.0000 0.0000 0.0000


Most stable of them? run 2.


Run 1
# La2BP, optimized geometry, DFT GGA-PBE
# Total magnetization   0.70 μB per formula unit
data_La2BP
_cell_length_a 7.3713
_cell_length_b 7.3713
_cell_length_c 7.6135
_cell_angle_alpha 90.00
_cell_angle_beta 90.00
_cell_angle_gamma 90.00
_space_group_name_H-M_alt 'I -4 2 d'
_space_group_IT_number 122
_space_group_name_Hall 'I -4 2bw'
loop_
_atom_site_label
_atom_site_type_symbol
_atom_site_fract_x
_atom_site_fract_y
_atom_site_fract_z
La1 La 0.2237 0.7500 0.1250
B1 B 0.0000 0.0000 0.0000
P1 P 0.0000 0.0000 0.5000


Run 2
# La2BP, optimized geometry, DFT GGA-PBE
# Total magnetization   0.83 μB per formula unit
data_La2BP
_cell_length_a 7.0740
_cell_length_b 7.0740
_cell_length_c 7.0740
_cell_angle_alpha 90.00
_cell_angle_beta 90.00
_cell_angle_gamma 90.00
_space_group_name_H-M_alt 'F m -3 m'
_space_group_IT_number 225
_space_group_name_Hall '-F 4 2 3'
loop_
_atom_site_label
_atom_site_type_symbol
_atom_site_fract_x
_atom_site_fract_y
_atom_site_fract_z
La1 La 0.2500 0.2500 0.2500
B1 B 0.0000 0.0000 0.0000
P1 P 0.0000 0.0000 0.5000


Most stable of them? run 1.


Run 1
# LaB3P, optimized geometry, DFT GGA-PBE
# Total magnetization   0.00 μB per formula unit
data_LaB3P
_cell_length_a 4.0227
_cell_length_b 4.0227
_cell_length_c 4.0227
_cell_angle_alpha 90.00
_cell_angle_beta 90.00
_cell_angle_gamma 90.00
_space_group_name_H-M_alt 'P m -3 m'
_space_group_IT_number 221
_space_group_name_Hall '-P 4 2 3'
loop_
_atom_site_label
_atom_site_type_symbol
_atom_site_fract_x
_atom_site_fract_y
_atom_site_fract_z
La1 La 0.0000 0.0000 0.0000
B1 B 0.0000 0.5000 0.5000
P1 P 0.5000 0.5000 0.5000


Run 2
# LaB3P, optimized geometry, DFT GGA-PBE
# Total magnetization   0.00 μB per formula unit
data_LaB3P
_cell_length_a 4.8191
_cell_length_b 4.8191
_cell_length_c 4.8191
_cell_angle_alpha 90.00
_cell_angle_beta 90.00
_cell_angle_gamma 90.00
_space_group_name_H-M_alt 'P m -3 m'
_space_group_IT_number 221
_space_group_name_Hall '-P 4 2 3'
loop_
_atom_site_label
_atom_site_type_symbol
_atom_site_fract_x
_atom_site_fract_y
_atom_site_fract_z
La1 La 0.0000 0.0000 0.0000
B1 B 0.0000 0.0000 0.5000
P1 P 0.5000 0.5000 0.5000


Most stable of them? run 1.


Run 1
# LaBPb3, optimized geometry, DFT GGA-PBE
# Total magnetization   0.00 μB per formula unit
data_LaBPb3
_cell_length_a 6.1450
_cell_length_b 6.1450
_cell_length_c 6.1450
_cell_angle_alpha 90.00
_cell_angle_beta 90.00
_cell_angle_gamma 90.00
_space_group_name_H-M_alt 'P m -3 m'
_space_group_IT_number 221
_space_group_name_Hall '-P 4 2 3'
loop_
_atom_site_label
_atom_site_type_symbol
_atom_site_fract_x
_atom_site_fract_y
_atom_site_fract_z
La1 La 0.0000 0.0000 0.0000
B1 B 0.5000 0.5000 0.5000
Pb1 Pb 0.0000 0.0000 0.5000


Run 2
# LaBPb3, optimized geometry, DFT GGA-PBE
# Total magnetization   0.00 μB per formula unit
data_LaBPb3
_cell_length_a 5.1597
_cell_length_b 5.1597
_cell_length_c 5.1597
_cell_angle_alpha 90.00
_cell_angle_beta 90.00
_cell_angle_gamma 90.00
_space_group_name_H-M_alt 'P m -3 m'
_space_group_IT_number 221
_space_group_name_Hall '-P 4 2 3'
loop_
_atom_site_label
_atom_site_type_symbol
_atom_site_fract_x
_atom_site_fract_y
_atom_site_fract_z
La1 La 0.0000 0.0000 0.0000
B1 B 0.5000 0.5000 0.5000
Pb1 Pb 0.0000 0.5000 0.5000


Most stable of them? run 2.


Run 1
# LaB2Pt, optimized geometry, DFT GGA-PBE
# Total magnetization   0.00 μB per formula unit
data_LaB2Pt
_cell_length_a 6.2026
_cell_length_b 6.2026
_cell_length_c 6.2026
_cell_angle_alpha 90.00
_cell_angle_beta 90.00
_cell_angle_gamma 90.00
_space_group_name_H-M_alt 'F m -3 m'
_space_group_IT_number 225
_space_group_name_Hall '-F 4 2 3'
loop_
_atom_site_label
_atom_site_type_symbol
_atom_site_fract_x
_atom_site_fract_y
_atom_site_fract_z
La1 La 0.0000 0.0000 0.0000
B1 B 0.2500 0.2500 0.2500
Pt1 Pt 0.0000 0.0000 0.5000


Run 2
# LaB2Pt, optimized geometry, DFT GGA-PBE
# Total magnetization   0.00 μB per formula unit
data_LaB2Pt
_cell_length_a 4.4500
_cell_length_b 4.4500
_cell_length_c 13.9735
_cell_angle_alpha 90.00
_cell_angle_beta 90.00
_cell_angle_gamma 90.00
_space_group_name_H-M_alt 'I 41/a m d'
_space_group_IT_number 141
loop_
_space_group_symop_operation_xyz
'x,y,z'
'-x,-y,-z'
'-y+1/4,x+3/4,z+1/4'
'y+1/4,-x+3/4,-z+1/4'
'-x+1/2,-y,z+1/2'
'x+1/2,y,-z+1/2'
'y+1/4,-x+1/4,z+3/4'
'-y+1/4,x+1/4,-z+3/4'
'x,-y,-z'
'-x,y,z'
'-y+1/4,-x+1/4,-z+3/4'
'y+1/4,x+1/4,z+3/4'
'-x+1/2,y,-z+1/2'
'x+1/2,-y,z+1/2'
'y+1/4,x+3/4,-z+1/4'
'-y+1/4,-x+3/4,z+1/4'
'x+1/2,y+1/2,z+1/2'
'-x+1/2,-y+1/2,-z+1/2'
'-y+3/4,x+1/4,z+3/4'
'y+3/4,-x+1/4,-z+3/4'
'-x,-y+1/2,z'
'x,y+1/2,-z'
'y+3/4,-x+3/4,z+1/4'
'-y+3/4,x+3/4,-z+1/4'
'x+1/2,-y+1/2,-z+1/2'
'-x+1/2,y+1/2,z+1/2'
'-y+3/4,-x+3/4,-z+1/4'
'y+3/4,x+3/4,z+1/4'
'-x,y+1/2,-z'
'x,-y+1/2,z'
'y+3/4,x+1/4,-z+3/4'
'-y+3/4,-x+1/4,z+3/4'
loop_
_atom_site_label
_atom_site_type_symbol
_atom_site_fract_x
_atom_site_fract_y
_atom_site_fract_z
La1 La 0.0000 0.2500 0.3750
B1 B 0.0000 0.0000 0.0000
Pt1 Pt 0.0000 0.2500 0.8750


Most stable of them? run 2.


Run 1
# La2ReB2, optimized geometry, DFT GGA-PBE
# Total magnetization   0.00 μB per formula unit
data_La2ReB2
_cell_length_a 7.9286
_cell_length_b 7.9286
_cell_length_c 2.9811
_cell_angle_alpha 90.00
_cell_angle_beta 90.00
_cell_angle_gamma 90.00
_space_group_name_H-M_alt 'P 4/m b m'
_space_group_IT_number 127
_space_group_name_Hall '-P 4 2ab'
loop_
_atom_site_label
_atom_site_type_symbol
_atom_site_fract_x
_atom_site_fract_y
_atom_site_fract_z
La1 La 0.1405 0.3595 0.0000
Re1 Re 0.0000 0.0000 0.0000
B1 B 0.1607 0.6607 0.5000


Run 2
# La2ReB2, optimized geometry, DFT GGA-PBE
# Total magnetization   0.00 μB per formula unit
data_La2ReB2
_cell_length_a 2.9092
_cell_length_b 2.9092
_cell_length_c 20.1961
_cell_angle_alpha 90.00
_cell_angle_beta 90.00
_cell_angle_gamma 90.00
_space_group_name_H-M_alt 'I 4/m m m'
_space_group_IT_number 139
_space_group_name_Hall '-I 4 2'
loop_
_atom_site_label
_atom_site_type_symbol
_atom_site_fract_x
_atom_site_fract_y
_atom_site_fract_z
La1 La 0.0000 0.0000 0.1254
Re1 Re 0.0000 0.0000 0.5000
B1 B 0.0000 0.5000 0.2500


Most stable of them? run 2.


Run 1
# LaReB, optimized geometry, DFT GGA-PBE
# Total magnetization   0.00 μB per formula unit
data_LaReB
_cell_length_a 6.1007
_cell_length_b 6.1007
_cell_length_c 6.1007
_cell_angle_alpha 90.00
_cell_angle_beta 90.00
_cell_angle_gamma 90.00
_space_group_name_H-M_alt 'F -4 3 m'
_space_group_IT_number 216
_space_group_name_Hall 'F -4 2 3'
loop_
_atom_site_label
_atom_site_type_symbol
_atom_site_fract_x
_atom_site_fract_y
_atom_site_fract_z
La1 La 0.0000 0.0000 0.0000
Re1 Re 0.2500 0.2500 0.7500
B1 B 0.0000 0.0000 0.5000


Run 2
# LaReB, optimized geometry, DFT GGA-PBE
# Total magnetization   0.00 μB per formula unit
data_LaReB
_cell_length_a 9.3098
_cell_length_b 3.5660
_cell_length_c 7.4440
_cell_angle_alpha 90.00
_cell_angle_beta 120.80
_cell_angle_gamma 90.00
_space_group_name_H-M_alt 'C 1 2/m 1'
_space_group_IT_number 12
_space_group_name_Hall '-C 2y'
loop_
_atom_site_label
_atom_site_type_symbol
_atom_site_fract_x
_atom_site_fract_y
_atom_site_fract_z
La1 La 0.0768 0.0000 0.3589
Re1 Re 0.1568 0.5000 0.0544
B1 B 0.2023 0.5000 0.7886


Most stable of them? run 2.


Run 1
# LaBRu, optimized geometry, DFT GGA-PBE
# Total magnetization   0.00 μB per formula unit
data_LaBRu
_cell_length_a 4.3095
_cell_length_b 4.3168
_cell_length_c 10.3800
_cell_angle_alpha 90.00
_cell_angle_beta 90.00
_cell_angle_gamma 90.00
_space_group_name_H-M_alt 'F m m 2'
_space_group_IT_number 42
_space_group_name_Hall 'F 2 -2'
loop_
_atom_site_label
_atom_site_type_symbol
_atom_site_fract_x
_atom_site_fract_y
_atom_site_fract_z
La1 La 0.0000 0.0000 0.0000
B1 B 0.0000 0.0000 0.2920
Ru1 Ru 0.0000 0.0000 0.7298


Run 2
# LaBRu, optimized geometry, DFT GGA-PBE
# Total magnetization   0.46 μB per formula unit
data_LaBRu
_cell_length_a 4.0020
_cell_length_b 4.0020
_cell_length_c 7.7870
_cell_angle_alpha 90.00
_cell_angle_beta 90.00
_cell_angle_gamma 90.00
_space_group_name_H-M_alt 'P 4/n m m'
_space_group_IT_number 129
loop_
_space_group_symop_operation_xyz
'x,y,z'
'-x,-y,-z'
'-y+1/2,x,z'
'y+1/2,-x,-z'
'-x+1/2,-y+1/2,z'
'x+1/2,y+1/2,-z'
'y,-x+1/2,z'
'-y,x+1/2,-z'
'x+1/2,-y,-z'
'-x+1/2,y,z'
'-y,-x,-z'
'y,x,z'
'-x,y+1/2,-z'
'x,-y+1/2,z'
'y+1/2,x+1/2,-z'
'-y+1/2,-x+1/2,z'
loop_
_atom_site_label
_atom_site_type_symbol
_atom_site_fract_x
_atom_site_fract_y
_atom_site_fract_z
La1 La 0.2500 0.2500 0.2101
B1 B 0.2500 0.2500 0.6082
Ru1 Ru 0.2500 0.7500 0.5000


Most stable of them? run 2.


Run 1
# LaB3Ru, optimized geometry, DFT GGA-PBE
# Total magnetization   0.00 μB per formula unit
data_LaB3Ru
_cell_length_a 4.3807
_cell_length_b 4.3807
_cell_length_c 4.3807
_cell_angle_alpha 90.00
_cell_angle_beta 90.00
_cell_angle_gamma 90.00
_space_group_name_H-M_alt 'P m -3 m'
_space_group_IT_number 221
_space_group_name_Hall '-P 4 2 3'
loop_
_atom_site_label
_atom_site_type_symbol
_atom_site_fract_x
_atom_site_fract_y
_atom_site_fract_z
La1 La 0.0000 0.0000 0.0000
B1 B 0.0000 0.0000 0.5000
Ru1 Ru 0.5000 0.5000 0.5000


Run 2
# LaB3Ru, optimized geometry, DFT GGA-PBE
# Total magnetization   0.00 μB per formula unit
data_LaB3Ru
_cell_length_a 4.1308
_cell_length_b 4.1308
_cell_length_c 4.1308
_cell_angle_alpha 90.00
_cell_angle_beta 90.00
_cell_angle_gamma 90.00
_space_group_name_H-M_alt 'P m -3 m'
_space_group_IT_number 221
_space_group_name_Hall '-P 4 2 3'
loop_
_atom_site_label
_atom_site_type_symbol
_atom_site_fract_x
_atom_site_fract_y
_atom_site_fract_z
La1 La 0.0000 0.0000 0.0000
B1 B 0.0000 0.5000 0.5000
Ru1 Ru 0.5000 0.5000 0.5000


Most stable of them? run 2.


Run 1
# LaB4Ru4, optimized geometry, DFT GGA-PBE
# Total magnetization   0.00 μB per formula unit
data_LaB4Ru4
_cell_length_a 7.5937
_cell_length_b 7.5937
_cell_length_c 4.0178
_cell_angle_alpha 90.00
_cell_angle_beta 90.00
_cell_angle_gamma 90.00
_space_group_name_H-M_alt 'P 42/n'
_space_group_IT_number 86
loop_
_space_group_symop_operation_xyz
'x,y,z'
'-x,-y,-z'
'-y,x+1/2,z+1/2'
'y,-x+1/2,-z+1/2'
'-x+1/2,-y+1/2,z'
'x+1/2,y+1/2,-z'
'y+1/2,-x,z+1/2'
'-y+1/2,x,-z+1/2'
loop_
_atom_site_label
_atom_site_type_symbol
_atom_site_fract_x
_atom_site_fract_y
_atom_site_fract_z
La1 La 0.2500 0.2500 0.2500
B1 B 0.0379 0.5836 0.1406
Ru1 Ru 0.1058 0.8580 0.1414


Run 2
# LaB4Ru4, optimized geometry, DFT GGA-PBE
# Total magnetization   0.00 μB per formula unit
data_LaB4Ru4
_cell_length_a 5.4340
_cell_length_b 5.4340
_cell_length_c 7.4299
_cell_angle_alpha 90.00
_cell_angle_beta 90.00
_cell_angle_gamma 90.00
_space_group_name_H-M_alt 'P 42/n m c'
_space_group_IT_number 137
loop_
_space_group_symop_operation_xyz
'x,y,z'
'-x,-y,-z'
'-y+1/2,x,z+1/2'
'y+1/2,-x,-z+1/2'
'-x+1/2,-y+1/2,z'
'x+1/2,y+1/2,-z'
'y,-x+1/2,z+1/2'
'-y,x+1/2,-z+1/2'
'x+1/2,-y,-z'
'-x+1/2,y,z'
'-y,-x,-z+1/2'
'y,x,z+1/2'
'-x,y+1/2,-z'
'x,-y+1/2,z'
'y+1/2,x+1/2,-z+1/2'
'-y+1/2,-x+1/2,z+1/2'
loop_
_atom_site_label
_atom_site_type_symbol
_atom_site_fract_x
_atom_site_fract_y
_atom_site_fract_z
La1 La 0.2500 0.7500 0.2500
B1 B 0.0784 0.2500 0.0990
Ru1 Ru 0.0063 0.7500 0.6126


Most stable of them? run 1.